Entry 1:
DFT (PBE) results for crystalline Sc3Cd2Ag2Hg4 at its relaxed geometry.

Structure (POSCAR):
```
Sc3Cd2Ag2Hg4
1.0
-3.538 2.313 2.283
-1.041 -3.510 -3.110
0.508 -8.301 9.199
Ag Hg Cd Sc
2 4 2 3
direct
0.333 0.667 0.120 Ag
0.667 0.333 0.880 Ag
0.667 0.333 0.128 Hg
0.333 0.667 0.872 Hg
0.667 0.333 0.646 Hg
0.333 0.667 0.354 Hg
0.667 0.333 0.412 Cd
0.333 0.667 0.588 Cd
0.000 0.000 0.747 Sc
0.000 0.000 0.253 Sc
0.000 0.000 0.000 Sc
```

Values from the calculation:
SG: No. 164
DFT formation energy, eV/atom: -0.165
Spin magnetization, μB per atom: 0.04

Entry 2:
DFT (PBE) results for crystalline Sc2CdAgHg4 at its relaxed geometry.

Structure (POSCAR):
```
Sc2CdAgHg4
1.0
-4.328 2.231 0.609
-2.748 1.131 -3.905
-5.986 -6.047 -0.622
Cd Hg Sc Ag
1 4 2 1
direct
0.000 0.000 0.000 Cd
0.127 0.127 0.620 Hg
0.873 0.873 0.380 Hg
0.377 0.377 0.870 Hg
0.623 0.623 0.130 Hg
0.750 0.750 0.750 Sc
0.250 0.250 0.250 Sc
0.500 0.500 0.500 Ag
```

Values from the calculation:
SG: No. 166
DFT formation energy, eV/atom: -0.259
Spin magnetization, μB per atom: 0.00

Entry 3:
DFT (PBE) results for crystalline CdAgHgSe2 at its relaxed geometry.

Structure (POSCAR):
```
CdAgHgSe2
1.0
-2.608 -4.170 2.079
3.601 -3.222 -1.946
2.844 0.463 4.496
Cd Se Ag Hg
1 2 1 1
direct
0.500 0.500 0.500 Cd
0.500 0.000 0.000 Se
0.000 0.000 0.500 Se
0.000 0.500 0.000 Ag
0.000 0.000 0.000 Hg
```

Values from the calculation:
SG: No. 123
Formation energy (no corrections), eV per formula unit: 2.671
Spin magnetization, μB per atom: 0.00

Entry 4:
DFT (PBE) results for crystalline Sm4Cd2AgHg at its relaxed geometry.

Structure (POSCAR):
```
Sm4Cd2AgHg
1.0
5.349 0.000 0.000
2.675 4.632 0.000
2.675 1.544 8.738
Sm Cd Ag Hg
4 2 1 1
direct
0.376 0.376 0.872 Sm
0.874 0.874 0.378 Sm
0.126 0.126 0.622 Sm
0.624 0.624 0.128 Sm
0.749 0.749 0.752 Cd
0.251 0.251 0.248 Cd
0.500 0.500 0.500 Ag
0.000 0.000 0.000 Hg
```

Values from the calculation:
SG: No. 166
DFT formation energy, eV/atom: -0.337
Spin magnetization, μB per atom: 0.14

Entry 5:
DFT (PBE) results for crystalline Sm4CdAgHg2 at its relaxed geometry.

Structure (POSCAR):
```
Sm4CdAgHg2
1.0
5.339 0.000 0.000
2.669 4.624 0.000
2.669 1.541 8.716
Sm Ag Hg Cd
4 1 2 1
direct
0.873 0.873 0.382 Sm
0.378 0.378 0.866 Sm
0.622 0.622 0.134 Sm
0.127 0.127 0.618 Sm
0.500 0.500 0.500 Ag
0.746 0.746 0.762 Hg
0.254 0.254 0.238 Hg
0.000 0.000 0.000 Cd
```

Values from the calculation:
SG: No. 166
DFT formation energy, eV/atom: -0.387
Spin magnetization, μB per atom: 0.09

Entry 6:
DFT (PBE) results for crystalline Cd5Ag2SnHg2 at its relaxed geometry.

Structure (POSCAR):
```
Cd5Ag2SnHg2
1.0
3.541 0.000 0.000
0.000 11.679 0.000
0.000 0.000 11.679
Cd Ag Hg Sn
10 4 4 2
direct
0.500 0.217 0.009 Cd
0.500 0.717 0.491 Cd
0.500 0.283 0.509 Cd
0.500 0.009 0.783 Cd
0.500 0.509 0.717 Cd
0.500 0.491 0.283 Cd
0.500 0.783 0.991 Cd
0.500 0.500 0.000 Cd
0.500 0.991 0.217 Cd
0.500 0.000 0.500 Cd
0.000 0.366 0.134 Ag
0.000 0.866 0.366 Ag
0.000 0.634 0.866 Ag
0.000 0.134 0.634 Ag
0.000 0.307 0.807 Hg
0.000 0.693 0.193 Hg
0.000 0.193 0.307 Hg
0.000 0.807 0.693 Hg
0.000 0.000 0.000 Sn
0.000 0.500 0.500 Sn
```

Values from the calculation:
SG: No. 127
DFT formation energy, eV/atom: 0.063
Spin magnetization, μB per atom: 0.00